# 1
Entry from the Alexandria database: CuINO2 after structural relaxation (PBE).

a b c (Å): 3.5252 3.5252 7.5489
angles (deg): 90.00 90.00 90.00
With the nearest neighbours (Å) after each atom.
Space group P4/mmm (No. 123)
Inequivalent atoms, fractional coordinates:
1 Cu 0.0000 0.0000 0.0000 (multiplicity 1)  4 O 1.76
2 I 0.0000 0.0000 0.5000 (multiplicity 1)  4 N 2.49
3 N 0.5000 0.5000 0.5000 (multiplicity 1)  4 I 2.49
4 O 0.0000 0.5000 0.0000 (multiplicity 2)  2 Cu 1.76

Results
Formation energy (no corrections) ... 0.962 eV per atom
Uncorrected energy ... -3.82 eV/atom

***

# 2
Entry from the Alexandria database: P2OsCS after structural relaxation (PBE).

a b c (Å): 4.4375 4.4375 5.1427
angles (deg): 90.00 90.00 90.00
With the nearest neighbours (Å) after each atom.
Space group P4/mmm (No. 123)
Inequivalent atoms, fractional coordinates:
1 P 0.0000 0.5000 0.0000 (multiplicity 2)  2 Os 2.22
2 Os 0.0000 0.0000 0.0000 (multiplicity 1)  4 P 2.22
3 C 0.5000 0.5000 0.5000 (multiplicity 1)  4 S 3.14, 8 P 3.40
4 S 0.0000 0.0000 0.5000 (multiplicity 1)  2 Os 2.57

Results
Formation energy (no corrections) ... 1.921 eV per atom
Uncorrected energy ... -5.16 eV/atom